Entry 1:
Density functional theory data (meta-GGA SCAN) for Sc4C5 at its PBEsol-relaxed geometry.

Calculated values
- energy relative to the elements (eV/atom) = -0.02
- density (kg/m³) = 3750
- SG = No. 139
- electronic total energy (eV/atom) = -11.96
- size of the total moment (Bohr magnetons per cell) = 0.00

Cell and atoms, written as extended XYZ:
```
9
Lattice="-2.220 -0.863 -1.483 2.352 -4.767 -3.401 -2.584 -4.365 3.754" Properties=species:S:1:pos:R:3 pbc="T T T"
C 0.000 0.000 0.000
C -0.297 -3.271 -2.960
C -3.038 -3.048 1.014
C 0.429 -2.359 -1.924
Sc -1.361 -4.465 1.981
Sc 1.129 -4.668 -1.628
Sc -0.724 -7.084 -0.102
C -1.765 -2.181 1.257
Sc -1.727 -2.912 -1.028
```

***

Entry 2:
Density functional theory data (meta-GGA SCAN) for LaAlCo2 at its PBEsol-relaxed geometry.

Calculated values
- energy relative to the elements (eV/atom) = 0.34
- density (kg/m³) = 7437
- SG = No. 119
- electronic total energy (eV/atom) = -21.03
- size of the total moment (Bohr magnetons per cell) = 0.31

Cell and atoms, written as extended XYZ:
```
4
Lattice="3.662 0.000 0.000 0.000 3.662 0.000 -1.831 -1.831 4.725" Properties=species:S:1:pos:R:3 pbc="T T T"
Co 1.831 0.000 2.363
Co 0.000 0.000 0.000
Al 0.000 1.831 2.363
La 1.831 1.831 0.000
```

***

Entry 3:
Density functional theory data (meta-GGA SCAN) for BaScOs at its PBEsol-relaxed geometry.

Calculated values
- energy relative to the elements (eV/atom) = 1.57
- density (kg/m³) = 8504
- SG = No. 216
- electronic total energy (eV/atom) = -40.32
- size of the total moment (Bohr magnetons per cell) = 0.00

Cell and atoms, written as extended XYZ:
```
3
Lattice="-2.319 -3.338 2.331 2.366 -3.271 2.378 -0.048 0.016 4.685" Properties=species:S:1:pos:R:3 pbc="T T T"
Os 0.000 0.000 0.000
Sc -0.001 -3.297 4.697
Ba -0.001 -4.945 7.046
```

***

Entry 4:
Density functional theory data (meta-GGA SCAN) for CaZnNi2P at its PBEsol-relaxed geometry.

Calculated values
- energy relative to the elements (eV/atom) = 0.04
- density (kg/m³) = 4495
- SG = No. 123
- electronic total energy (eV/atom) = -13.15
- size of the total moment (Bohr magnetons per cell) = 1.00

Cell and atoms, written as extended XYZ:
```
5
Lattice="-2.776 -0.629 -3.100 -1.826 -3.049 2.254 -3.250 3.562 2.187" Properties=species:S:1:pos:R:3 pbc="T T T"
Ni -1.388 -0.315 -1.550
Zn -3.926 -0.058 0.670
P 0.000 0.000 0.000
Ni -0.913 -1.525 1.127
Ca -1.625 1.781 1.093
```

***

Entry 5:
Density functional theory data (meta-GGA SCAN) for Ga3RuPt at its PBEsol-relaxed geometry.

Calculated values
- energy relative to the elements (eV/atom) = 0.49
- density (kg/m³) = 8303
- SG = No. 221
- electronic total energy (eV/atom) = -30.32
- size of the total moment (Bohr magnetons per cell) = 2.49

Cell and atoms, written as extended XYZ:
```
5
Lattice="-4.243 -1.419 1.298 1.922 -3.207 2.778 0.048 3.065 3.507" Properties=species:S:1:pos:R:3 pbc="T T T"
Ga 0.024 1.533 1.753
Pt 0.000 0.000 0.000
Ga 0.961 -1.604 1.389
Ru -1.137 -0.780 3.791
Ga -2.121 -0.709 0.649
```

***

Entry 6:
Density functional theory data (meta-GGA SCAN) for CaCd2Pb at its PBEsol-relaxed geometry.

Calculated values
- energy relative to the elements (eV/atom) = -0.30
- density (kg/m³) = 7520
- SG = No. 47
- electronic total energy (eV/atom) = -36.87
- size of the total moment (Bohr magnetons per cell) = 0.00

Cell and atoms, written as extended XYZ:
```
4
Lattice="3.411 0.000 0.019 0.000 5.263 0.000 -0.031 0.000 5.806" Properties=species:S:1:pos:R:3 pbc="T T T"
Cd 1.698 0.000 1.515
Pb 1.705 2.632 0.009
Cd 1.682 0.000 4.310
Ca -0.015 2.632 2.903
```

***

Entry 7:
Density functional theory data (meta-GGA SCAN) for Ca2Ag2Sn at its PBEsol-relaxed geometry.

Calculated values
- energy relative to the elements (eV/atom) = -0.45
- density (kg/m³) = 5759
- SG = No. 127
- electronic total energy (eV/atom) = -24.05
- size of the total moment (Bohr magnetons per cell) = 0.00

Cell and atoms, written as extended XYZ:
```
10
Lattice="-2.811 -2.740 -0.664 5.396 -4.900 -2.631 0.993 -2.758 7.174" Properties=species:S:1:pos:R:3 pbc="T T T"
Ag 1.041 -1.644 2.375
Sn 3.195 -3.829 2.271
Ca 0.510 -3.439 0.095
Sn 0.000 0.000 0.000
Ag 3.488 -3.396 -0.754
Ca 0.226 -4.109 4.062
Ca 3.352 -6.289 -0.183
Ca 3.068 -6.958 3.785
Ag 5.349 -6.015 2.168
Ag 2.902 -4.262 5.297
```

***

Entry 8:
Density functional theory data (meta-GGA SCAN) for Zn2TeP at its PBEsol-relaxed geometry.

Calculated values
- density (kg/m³) = 6237
- formation energy from raw total energies (eV/atom) = 0.3845
- ΔE to the lowest computed polymorph (meV/atom) = 586
- SG = No. 119
- electronic total energy (eV/atom) = -18.29
- size of the total moment (Bohr magnetons per cell) = 0.00

Cell and atoms, written as extended XYZ:
```
4
Lattice="3.741 0.000 0.000 0.000 3.741 0.000 -1.870 -1.870 5.506" Properties=species:S:1:pos:R:3 pbc="T T T"
Te 0.000 1.870 2.753
P 1.870 1.870 0.000
Zn 0.000 0.000 0.000
Zn 1.870 0.000 2.753
```

***

Entry 9:
Density functional theory data (meta-GGA SCAN) for Ga2SnHg2 at its PBEsol-relaxed geometry.

Calculated values
- energy relative to the elements (eV/atom) = 0.19
- density (kg/m³) = 9753
- ΔE to the lowest computed polymorph (meV/atom) = 20
- SG = No. 139
- electronic total energy (eV/atom) = -40.80
- size of the total moment (Bohr magnetons per cell) = 0.00

Cell and atoms, written as extended XYZ:
```
5
Lattice="4.054 0.000 0.000 0.000 4.054 0.000 -2.027 -2.027 6.832" Properties=species:S:1:pos:R:3 pbc="T T T"
Ga 0.000 2.027 3.416
Hg 2.027 2.027 1.443
Sn 0.000 0.000 0.000
Ga 2.027 0.000 3.416
Hg 0.000 0.000 5.389
```

***

Entry 10:
Density functional theory data (meta-GGA SCAN) for Y6Te2Pd at its PBEsol-relaxed geometry.

Calculated values
- density (kg/m³) = 6096
- formation energy from raw total energies (eV/atom) = -0.9307
- SG = No. 62
- electronic total energy (eV/atom) = -31.41
- size of the total moment (Bohr magnetons per cell) = 1.44

Cell and atoms, written as extended XYZ:
```
36
Lattice="-0.967 3.311 -1.921 -1.601 -6.016 -9.561 -20.771 -2.966 5.345" Properties=species:S:1:pos:R:3 pbc="T T T"
Y -1.657 0.122 -5.040
Y -16.700 -5.907 -3.799
Y -11.717 -2.993 -1.287
Y -17.048 -1.338 0.191
Y -13.859 -1.602 2.188
Y -0.925 0.018 -1.532
Te -3.698 0.814 -2.821
Y -15.140 -2.743 -3.191
Y -8.199 -2.928 -2.947
Te -17.676 -5.571 -6.786
Y -4.058 -1.837 -7.207
Te -6.576 -1.401 -5.189
Te -9.144 -4.582 -5.321
Pd -20.210 -1.226 1.977
Y -4.006 -2.119 -3.663
Y -14.718 -4.353 -6.177
Y -9.480 -4.070 -8.326
Y -17.935 -1.973 3.600
Pd -3.128 -4.446 -8.115
Pd -13.225 -4.846 -3.722
Y -11.728 -5.934 -6.350
Te -14.195 -1.089 -0.817
Y -21.681 -5.794 -1.098
Y -11.622 -2.679 -4.851
Y -22.414 -5.690 -4.606
Y -6.291 -4.334 -6.329
Y -8.620 -1.319 0.039
Te -5.663 -0.101 0.648
Y -11.611 0.262 0.212
Y -6.639 0.235 -2.338
Te -19.641 -6.486 -3.316
Y -5.403 -3.699 -9.738
Y -19.281 -3.835 1.069
Y -19.333 -3.553 -2.475
Te -16.763 -4.271 -0.949
Pd -10.113 -0.825 -2.416
```

***

Entry 11:
Density functional theory data (meta-GGA SCAN) for ScTePbI2 at its PBEsol-relaxed geometry.

Calculated values
- density (kg/m³) = 5056
- formation energy from raw total energies (eV/atom) = 0.1089
- SG = No. 123
- electronic total energy (eV/atom) = -40.04
- size of the total moment (Bohr magnetons per cell) = 1.18

Cell and atoms, written as extended XYZ:
```
5
Lattice="-3.074 -3.739 -3.343 4.922 -3.003 -1.167 -0.986 -3.482 4.802" Properties=species:S:1:pos:R:3 pbc="T T T"
Sc 0.431 -5.112 0.146
I -1.537 -1.870 -1.671
Te -0.493 -1.741 2.401
I 2.461 -1.501 -0.583
Pb 0.000 0.000 0.000
```

***

Entry 12:
Density functional theory data (meta-GGA SCAN) for Ba2PtCl at its PBEsol-relaxed geometry.

Calculated values
- density (kg/m³) = 6289
- formation energy from raw total energies (eV/atom) = -1.5608
- ΔE to the lowest computed polymorph (meV/atom) = 0
- SG = No. 166
- electronic total energy (eV/atom) = -40.88
- size of the total moment (Bohr magnetons per cell) = 0.00

Cell and atoms, written as extended XYZ:
```
4
Lattice="4.423 0.000 0.000 2.212 3.831 0.000 2.212 1.277 7.873" Properties=species:S:1:pos:R:3 pbc="T T T"
Ba 2.212 1.277 1.766
Pt 0.000 0.000 0.000
Cl 4.423 2.554 3.936
Ba 6.635 3.831 6.107
```

***

> Which of these has the lowest electronic total energy?

Ba2PtCl